Record 1
A relaxed CaNd4Pu3Te8 crystal, computed with GGA-PBE.

The structure belongs to space group R-3m (No. 166, hexagonal axes); the cell edges are 8.9271, 8.9271 and 22.0438 Å and the angles 90.00°, 90.00° and 120.00°. The inequivalent atoms are Ca at (0.0000, 0.0000, 0.0000), Nd at (0.0000, 0.0000, 0.5000), Nd at (0.0000, 0.5000, 0.5000), Pu at (0.0000, 0.5000, 0.0000), Te at (0.0000, 0.0000, 0.2521) and Te at (0.9996, 0.4998, 0.2518).

The calculation puts the calculated volume at 1521.4 Å³/cell. The calculation puts the uncorrected formation energy at -1.331 eV/atom.

Record 2
A relaxed RbCaNd crystal, computed with GGA-PBE.

The structure belongs to space group Amm2 (No. 38); the cell edges are 21.308, 3.888 and 6.736 Å and the angles 90.00°, 90.00° and 90.00°. The inequivalent atoms are Rb at (0.182, 0.000, 0.000), Ca at (0.000, 0.000, 0.323), Ca at (0.500, 0.000, 0.003) and Nd at (0.359, 0.000, 0.336).

The calculation puts the calculated volume at 558.1 Å³/cell. The formation energy comes out at 0.291 eV/atom.

Record 3
A relaxed CaNd3Rh2 crystal, computed with GGA-PBE.

The structure belongs to space group C2/m (No. 12); the cell edges are 15.047, 5.401 and 7.993 Å and the angles 90.00°, 95.96° and 90.00°. The inequivalent atoms are Ca at (0.166, 0.000, 0.299), Nd at (0.061, 0.000, 0.805), Nd at (0.118, 0.500, 0.536), Nd at (0.170, 0.500, 0.017), Rh at (0.011, 0.500, 0.203) and Rh at (0.222, 0.000, 0.662).

The calculation puts the calculated volume at 646.0 Å³/cell. The formation energy comes out at -0.409 eV/atom.

Record 4
A relaxed Ca2Nd3Rh2 crystal, computed with GGA-PBE.

The structure belongs to space group C2/m (No. 12); the cell edges are 12.624, 3.935 and 9.248 Å and the angles 90.00°, 117.28° and 90.00°. The inequivalent atoms are Ca at (0.170, 0.000, 0.307), Nd at (0.000, 0.500, 0.500), Nd at (0.117, 0.500, 0.931) and Rh at (0.170, 0.000, 0.747).

The calculation puts the calculated volume at 408.3 Å³/cell. The formation energy comes out at -0.437 eV/atom.

Record 5
A relaxed Ca2NdRh crystal, computed with GGA-PBE.

The structure belongs to space group Cmcm (No. 63); the cell edges are 3.987, 12.686 and 9.610 Å and the angles 90.00°, 90.00° and 90.00°. The inequivalent atoms are Ca at (0.000, 0.148, 0.068), Nd at (0.000, 0.420, 0.250) and Rh at (0.000, 0.231, 0.750).

The offset from the most stable computed form is 0.000 eV/f.u. The calculation puts the calculated volume at 486.1 Å³/cell. The formation energy comes out at -0.368 eV/atom.

Record 6
A relaxed Ca2NdRh2 crystal, computed with GGA-PBE.

The structure belongs to space group Immm (No. 71); the cell edges are 4.309, 6.259 and 9.293 Å and the angles 90.00°, 90.00° and 90.00°. The inequivalent atoms are Ca at (0.000, 0.000, 0.194), Nd at (0.000, 0.500, 0.000) and Rh at (0.000, 0.285, 0.500).

The calculation puts the calculated volume at 250.7 Å³/cell. The formation energy comes out at -0.434 eV/atom.

What is the calculated volume in the first record? 1521.4 Å³/cell